[1]
A relaxed structure of Sn2Bi. Source: Alexandria via LeMat-Bulk, functional PBE.

The structure in CIF format:
```
data_Sn2Bi
_symmetry_space_group_name_H-M 'C 1 2/m 1'
_symmetry_Int_Tables_number 12
_cell_length_a 12.2501
_cell_length_b 4.5676
_cell_length_c 7.2177
_cell_angle_alpha 90.00
_cell_angle_beta 116.50
_cell_angle_gamma 90.00
loop_
_symmetry_equiv_pos_as_xyz
'x,y,z'
'-x,-y,-z'
'-x,y,-z'
'x,-y,z'
'x+1/2,y+1/2,z'
'-x+1/2,-y+1/2,-z'
'-x+1/2,y+1/2,-z'
'x+1/2,-y+1/2,z'
loop_
_atom_site_label
_atom_site_fract_x
_atom_site_fract_y
_atom_site_fract_z
_atom_site_occupancy
Sn1 0.0197 0.0000 0.2997 1
Sn2 0.1353 0.5000 0.0364 1
Bi1 0.1953 0.5000 0.6461 1
```

Values from the calculation:
As for the magnetization: 0.00 μB per formula unit. The value obtained for the density of states at the Fermi level is 6.3 states/eV/cell. For the energy of formation from the pure elements, the calculation gives 6.4 kJ/mol of atoms.



[2]
A relaxed structure of RbTeCl4. Source: Alexandria via LeMat-Bulk, functional PBE.

The structure in CIF format:
```
data_RbTeCl4
_symmetry_space_group_name_H-M 'C 1 2/c 1'
_symmetry_Int_Tables_number 15
_cell_length_a 15.1071
_cell_length_b 7.0279
_cell_length_c 8.5954
_cell_angle_alpha 90.00
_cell_angle_beta 99.02
_cell_angle_gamma 90.00
loop_
_symmetry_equiv_pos_as_xyz
'x,y,z'
'-x,-y,-z'
'-x,y,-z+1/2'
'x,-y,z+1/2'
'x+1/2,y+1/2,z'
'-x+1/2,-y+1/2,-z'
'-x+1/2,y+1/2,-z+1/2'
'x+1/2,-y+1/2,z+1/2'
loop_
_atom_site_label
_atom_site_fract_x
_atom_site_fract_y
_atom_site_fract_z
_atom_site_occupancy
Rb1 0.2500 0.2500 0.0000 1
Te1 0.0000 0.1540 0.2500 1
Cl1 0.0188 0.2374 0.9700 1
Cl2 0.1707 0.1706 0.3314 1
```

Values from the calculation:
As for the magnetization: 0.00 μB per formula unit. The value obtained for the density of states at the Fermi level is 6.7 states/eV/cell. The calculation puts the uncorrected formation energy at -0.994 eV per atom.



Number 1: E_tot -3.90 eV/atom. Number 2: E_tot -2.91 eV/atom.